Material: Ti2SnAs2
Method: DFT, PBE-GGA
State: relaxed

Unit cell a=4.735 b=4.735 c=8.802 alpha=90.00 beta=90.00 gamma=90.00
Element x y z (fractional)
Ti  0.000  0.500  0.250
Ti  0.000  0.500  0.750
Ti  0.500  0.000  0.250
Ti  0.500  0.000  0.750
Sn  0.000  0.000  0.000
Sn  0.500  0.500  0.500
As  0.000  0.000  0.360
As  0.000  0.000  0.640
As  0.500  0.500  0.140
As  0.500  0.500  0.860

Values from the calculation:
**E_form**: -0.449 eV per atom
**M_tot**: 0.0 μB/f.u.
**ΔE to the lowest computed polymorph**: 19 kJ/mol of formula units
**Raw total energy**: -62.7 eV per cell
**Space-group type**: No. 139
**Density of states at the Fermi level**: 5.1 states/eV per cell

=====

Material: DyMg2InAu4
Method: DFT, PBE-GGA
State: relaxed

Unit cell a=8.910 b=8.910 c=8.910 alpha=30.69 beta=30.69 gamma=30.69
Element x y z (fractional)
Dy  0.000  0.000  0.000
Mg  0.246  0.246  0.246
Mg  0.754  0.754  0.754
In  0.500  0.500  0.500
Au  0.119  0.119  0.119
Au  0.384  0.384  0.384
Au  0.616  0.616  0.616
Au  0.881  0.881  0.881

Values from the calculation:
**E_form**: -0.576 eV per atom
**M_tot**: 0.0 μB/f.u.
**Raw total energy**: -28.3 eV per cell
**Space-group type**: No. 166
**Density of states at the Fermi level**: 3.2 states/eV per cell

=====

Material: K6Rb2AsAu
Method: DFT, PBE-GGA
State: relaxed

Unit cell a=9.445 b=9.441 c=9.433 alpha=60.06 beta=60.01 gamma=59.93
Element x y z (fractional)
K  0.241  0.241  0.759
K  0.242  0.758  0.242
K  0.242  0.758  0.758
K  0.758  0.242  0.242
K  0.758  0.242  0.758
K  0.759  0.759  0.241
Rb  0.250  0.250  0.250
Rb  0.750  0.750  0.750
As  0.000  0.000  0.000
Au  0.500  0.500  0.500

Values from the calculation:
**E_form**: -0.148 eV per atom
**M_tot**: 0.0 μB/f.u.
**Raw total energy**: -17.9 eV per cell
**Space-group type**: No. 69
**Density of states at the Fermi level**: 5.9 states/eV per cell

=====

Material: Tm5Bi2AsC
Method: DFT, PBE-GGA
State: relaxed

Unit cell a=4.605 b=4.605 c=10.867 alpha=90.00 beta=90.00 gamma=90.00
Element x y z (fractional)
Tm  0.000  0.000  0.000
Tm  0.000  0.500  0.500
Tm  0.500  0.000  0.500
Tm  0.500  0.500  0.259
Tm  0.500  0.500  0.741
Bi  0.000  0.000  0.286
Bi  0.000  0.000  0.714
As  0.500  0.500  0.000
C  0.500  0.500  0.500

Values from the calculation:
**E_form**: -0.713 eV per atom
**M_tot**: 0.0 μB/f.u.
**Raw total energy**: -50.4 eV per cell
**Space-group type**: No. 123
**Density of states at the Fermi level**: 6.4 states/eV per cell

=====

Material: LaBi3O
Method: DFT, PBE-GGA
State: relaxed

Unit cell a=5.056 b=5.056 c=5.056 alpha=90.00 beta=90.00 gamma=90.00
Element x y z (fractional)
La  0.000  0.000  0.000
Bi  0.000  0.500  0.500
Bi  0.500  0.000  0.500
Bi  0.500  0.500  0.000
O  0.500  0.500  0.500

Values from the calculation:
**Formation energy (no corrections)**: -3.4 eV/f.u.
**M_tot**: 0.0 μB/f.u.
**ΔE to the lowest computed polymorph**: 0 kJ/mol of formula units
**Raw total energy**: -24.9 eV per cell
**Space-group type**: No. 221
**Density of states at the Fermi level**: 1.9 states/eV per cell

=====

Material: LaSc2Sb
Method: DFT, PBE-GGA
State: relaxed

Unit cell a=4.053 b=4.726 c=6.217 alpha=90.00 beta=108.89 gamma=90.00
Element x y z (fractional)
La  0.000  0.000  0.000
Sc  0.294  0.500  0.592
Sc  0.727  0.000  0.457
Sb  0.585  0.500  0.171

Values from the calculation:
**Formation energy (no corrections)**: -1.8 eV/f.u.
**M_tot**: 0.0 μB/f.u.
**Raw total energy**: -23.6 eV per cell
**Space-group type**: No. 6
**Density of states at the Fermi level**: 5.4 states/eV per cell

=====

Material: Be4CdRh
Method: DFT, PBE-GGA
State: relaxed

Unit cell a=4.490 b=4.490 c=4.490 alpha=60.00 beta=60.00 gamma=60.00
Element x y z (fractional)
Be  0.376  0.376  0.376
Be  0.376  0.376  0.871
Be  0.376  0.871  0.376
Be  0.871  0.376  0.376
Cd  0.000  0.000  0.000
Rh  0.750  0.750  0.750

Values from the calculation:
**E_form**: -0.194 eV per atom
**M_tot**: 0.0 μB/f.u.
**Raw total energy**: -24.3 eV per cell
**Space-group type**: No. 216
**Density of states at the Fermi level**: 1.7 states/eV per cell

=====

Material: TbPrZnIr
Method: DFT, PBE-GGA
State: relaxed

Unit cell a=7.139 b=7.139 c=7.139 alpha=90.00 beta=90.00 gamma=90.00
Element x y z (fractional)
Tb  0.000  0.000  0.000
Tb  0.000  0.500  0.500
Tb  0.500  0.000  0.500
Tb  0.500  0.500  0.000
Pr  0.000  0.000  0.500
Pr  0.000  0.500  0.000
Pr  0.500  0.000  0.000
Pr  0.500  0.500  0.500
Zn  0.250  0.250  0.250
Zn  0.250  0.750  0.750
Zn  0.750  0.250  0.750
Zn  0.750  0.750  0.250
Ir  0.250  0.250  0.750
Ir  0.250  0.750  0.250
Ir  0.750  0.250  0.250
Ir  0.750  0.750  0.750

Values from the calculation:
**E_form**: -0.514 eV per atom
**M_tot**: 0.0 μB/f.u.
**ΔE to the lowest computed polymorph**: 8 kJ/mol of formula units
**Raw total energy**: -86.4 eV per cell
**Space-group type**: No. 216
**Density of states at the Fermi level**: 7.3 states/eV per cell

=====

Material: TbPm2TmTe6
Method: DFT, PBE-GGA
State: relaxed

Unit cell a=8.371 b=8.371 c=8.371 alpha=55.46 beta=55.46 gamma=55.46
Element x y z (fractional)
Tb  0.000  0.000  0.000
Pm  0.311  0.311  0.311
Pm  0.811  0.811  0.811
Tm  0.499  0.499  0.499
Te  0.107  0.725  0.396
Te  0.230  0.604  0.891
Te  0.396  0.107  0.725
Te  0.604  0.891  0.230
Te  0.725  0.396  0.107
Te  0.891  0.230  0.604

Values from the calculation:
**Formation energy (no corrections)**: -13.6 eV/f.u.
**M_tot**: 0.0 μB/f.u.
**Raw total energy**: -51.1 eV per cell
**Space-group type**: No. 146

=====

Material: PPd2SN
Method: DFT, PBE-GGA
State: relaxed

Unit cell a=4.520 b=4.520 c=4.601 alpha=90.00 beta=90.00 gamma=90.00
Element x y z (fractional)
P  0.000  0.000  0.000
Pd  0.000  0.500  0.500
Pd  0.500  0.000  0.500
S  0.000  0.000  0.500
N  0.500  0.500  0.000

Values from the calculation:
**Formation energy (no corrections)**: 7.0 eV/f.u.
**M_tot**: 2.1 μB/f.u.
**Raw total energy**: -21.2 eV per cell
**Space-group type**: No. 123
**Density of states at the Fermi level**: 3.3 states/eV per cell

=====

Material: PmAl2GePd4
Method: DFT, PBE-GGA
State: relaxed

Unit cell a=9.099 b=9.099 c=9.099 alpha=27.50 beta=27.50 gamma=27.50
Element x y z (fractional)
Pm  0.000  0.000  0.000
Al  0.243  0.243  0.243
Al  0.757  0.757  0.757
Ge  0.500  0.500  0.500
Pd  0.134  0.134  0.134
Pd  0.404  0.404  0.404
Pd  0.596  0.596  0.596
Pd  0.866  0.866  0.866

Values from the calculation:
**E_form**: -0.705 eV per atom
**M_tot**: 0.0 μB/f.u.
**Raw total energy**: -43.3 eV per cell
**Space-group type**: No. 166
**Density of states at the Fermi level**: 4.9 states/eV per cell

=====

Material: Er4ThTc2
Method: DFT, PBE-GGA
State: relaxed

Unit cell a=7.763 b=6.286 c=7.910 alpha=90.00 beta=111.76 gamma=90.00
Element x y z (fractional)
Er  0.103  0.250  0.474
Er  0.173  0.750  0.250
Er  0.261  0.502  0.917
Er  0.261  0.998  0.917
Er  0.739  0.002  0.083
Er  0.739  0.498  0.083
Er  0.827  0.250  0.750
Er  0.897  0.750  0.526
Th  0.465  0.250  0.340
Th  0.535  0.750  0.660
Tc  0.080  0.250  0.120
Tc  0.466  0.250  0.732
Tc  0.534  0.750  0.268
Tc  0.920  0.750  0.880

Values from the calculation:
**E_form**: -0.074 eV per atom
**M_tot**: 0.0 μB/f.u.
**Raw total energy**: -93.8 eV per cell
**Space-group type**: No. 11
**Density of states at the Fermi level**: 11.8 states/eV per cell

=====

Material: Zr3Np5N8
Method: DFT, PBE-GGA
State: relaxed

Unit cell a=6.768 b=6.768 c=6.768 alpha=59.52 beta=59.52 gamma=59.52
Element x y z (fractional)
Zr  0.000  0.500  0.500
Zr  0.500  0.000  0.500
Zr  0.500  0.500  0.000
Np  0.000  0.000  0.000
Np  0.000  0.000  0.500
Np  0.000  0.500  0.000
Np  0.500  0.000  0.000
Np  0.500  0.500  0.500
N  0.249  0.249  0.741
N  0.249  0.741  0.249
N  0.253  0.253  0.253
N  0.259  0.751  0.751
N  0.741  0.249  0.249
N  0.747  0.747  0.747
N  0.751  0.259  0.751
N  0.751  0.751  0.259

Values from the calculation:
**Formation energy (no corrections)**: -21.8 eV/f.u.
**M_tot**: 14.9 μB/f.u.
**Raw total energy**: -178.8 eV per cell
**Space-group type**: No. 166
**Density of states at the Fermi level**: 23.1 states/eV per cell

=====

Material: Ba2MgTaAg
Method: DFT, PBE-GGA
State: relaxed

Unit cell a=6.181 b=6.181 c=5.159 alpha=90.00 beta=90.00 gamma=90.00
Element x y z (fractional)
Ba  0.000  0.500  0.000
Ba  0.500  0.000  0.000
Mg  0.000  0.000  0.500
Ta  0.500  0.500  0.000
Ag  0.500  0.500  0.500

Values from the calculation:
**E_form**: 0.899 eV per atom
**M_tot**: 0.0 μB/f.u.
**Raw total energy**: -15.7 eV per cell
**Space-group type**: No. 123
**Density of states at the Fermi level**: 6.0 states/eV per cell

=====

Material: BaGeN2O
Method: DFT, PBE-GGA
State: relaxed

Unit cell a=3.986 b=3.986 c=4.221 alpha=90.00 beta=90.00 gamma=90.00
Element x y z (fractional)
Ba  0.000  0.000  0.000
Ge  0.500  0.500  0.500
N  0.000  0.500  0.500
N  0.500  0.000  0.500
O  0.500  0.500  0.000

Values from the calculation:
**Formation energy (no corrections)**: -1.3 eV/f.u.
**M_tot**: 1.6 μB/f.u.
**Raw total energy**: -29.4 eV per cell
**Space-group type**: No. 123
**Density of states at the Fermi level**: 2.8 states/eV per cell

=====

Material: PuGa8Pt2
Method: DFT, PBE-GGA
State: relaxed

Unit cell a=5.782 b=5.782 c=7.676 alpha=90.00 beta=90.00 gamma=90.00
Element x y z (fractional)
Pu  0.000  0.000  0.000
Ga  0.257  0.257  0.288
Ga  0.257  0.257  0.712
Ga  0.257  0.743  0.288
Ga  0.257  0.743  0.712
Ga  0.743  0.257  0.288
Ga  0.743  0.257  0.712
Ga  0.743  0.743  0.288
Ga  0.743  0.743  0.712
Pt  0.000  0.500  0.500
Pt  0.500  0.000  0.500

Values from the calculation:
**E_form**: -0.118 eV per atom
**M_tot**: 6.0 μB/f.u.
**Raw total energy**: -51.9 eV per cell
**Space-group type**: No. 123
**Density of states at the Fermi level**: 14.2 states/eV per cell

=====

Material: CeSm2Mg
Method: DFT, PBE-GGA
State: relaxed

Unit cell a=7.886 b=7.886 c=7.886 alpha=90.00 beta=90.00 gamma=90.00
Element x y z (fractional)
Ce  0.000  0.000  0.000
Ce  0.000  0.500  0.500
Ce  0.500  0.000  0.500
Ce  0.500  0.500  0.000
Sm  0.000  0.000  0.500
Sm  0.000  0.500  0.000
Sm  0.250  0.250  0.750
Sm  0.250  0.750  0.250
Sm  0.500  0.000  0.000
Sm  0.500  0.500  0.500
Sm  0.750  0.250  0.250
Sm  0.750  0.750  0.750
Mg  0.250  0.250  0.250
Mg  0.250  0.750  0.750
Mg  0.750  0.250  0.750
Mg  0.750  0.750  0.250

Values from the calculation:
**E_form**: 0.113 eV per atom
**M_tot**: 1.5 μB/f.u.
**ΔE to the lowest computed polymorph**: 45 kJ/mol of formula units
**Raw total energy**: -66.1 eV per cell
**Space-group type**: No. 216
**Density of states at the Fermi level**: 31.6 states/eV per cell

=====

Material: NbNi3Pd
Method: DFT, PBE-GGA
State: relaxed

Unit cell a=4.459 b=4.459 c=4.459 alpha=90.00 beta=90.00 gamma=90.00
Element x y z (fractional)
Nb  0.000  0.000  0.000
Ni  0.000  0.000  0.500
Ni  0.000  0.500  0.000
Ni  0.500  0.000  0.000
Pd  0.500  0.500  0.500

Values from the calculation:
**E_form**: 1.242 eV per atom
**M_tot**: 0.0 μB/f.u.
**ΔE to the lowest computed polymorph**: 703 kJ/mol of formula units
**Raw total energy**: -26.4 eV per cell
**Space-group type**: No. 221
**Density of states at the Fermi level**: 4.0 states/eV per cell

=====

Material: K3MoCl8
Method: DFT, PBE-GGA
State: relaxed

Unit cell a=7.890 b=7.890 c=8.971 alpha=90.00 beta=90.00 gamma=114.94
Element x y z (fractional)
K  0.000  0.000  0.000
K  0.000  0.500  0.770
K  0.500  0.000  0.230
Mo  0.000  0.000  0.500
Cl  0.177  0.823  0.500
Cl  0.194  0.202  0.685
Cl  0.202  0.194  0.315
Cl  0.224  0.776  0.000
Cl  0.776  0.224  0.000
Cl  0.798  0.806  0.315
Cl  0.806  0.798  0.685
Cl  0.823  0.177  0.500

Values from the calculation:
**Formation energy (no corrections)**: -15.8 eV/f.u.
**M_tot**: 0.9 μB/f.u.
**ΔE to the lowest computed polymorph**: 0 kJ/mol of formula units
**Raw total energy**: -44.7 eV per cell
**Space-group type**: No. 21
**Density of states at the Fermi level**: 11.3 states/eV per cell

=====

Material: BeAlAg
Method: DFT, PBE-GGA
State: relaxed

Unit cell a=2.986 b=3.586 c=7.937 alpha=90.00 beta=90.00 gamma=90.00
Element x y z (fractional)
Be  0.000  0.000  0.000
Be  0.500  0.500  0.500
Al  0.000  0.000  0.338
Al  0.500  0.500  0.838
Ag  0.000  0.000  0.663
Ag  0.500  0.500  0.163

Values from the calculation:
**E_form**: 0.157 eV per atom
**M_tot**: 0.0 μB/f.u.
**ΔE to the lowest computed polymorph**: 1 kJ/mol of formula units
**Raw total energy**: -19.7 eV per cell
**Space-group type**: No. 44
**Density of states at the Fermi level**: 0.7 states/eV per cell